Density functional theory data (PBE-GGA) for Fe3Hg2 after structural relaxation.

Geometry as extended XYZ:
```
10
Lattice="0.0000 4.5799 6.4176 2.7290 0.0000 6.4176 2.7290 4.5799 0.0000" Properties=species:S:1:pos:R:3 pbc="T T T"
Fe 5.3546 4.5799 6.4176
Fe 1.2611 2.2899 3.2088
Fe 4.7973 7.3881 10.9383
Hg 2.0769 6.3521 7.0926
Fe 3.4328 4.0615 7.7294
Fe 4.7973 6.3515 8.3146
Hg 3.4414 4.0622 2.5338
Fe 3.4328 5.0982 5.1058
Hg 3.4414 5.0976 10.3014
Hg 2.0769 2.8076 5.7427
```

Calculated values
Distance to the lowest polymorph of the same formula, eV per atom: 0.031
ΔE_f, eV per atom: 0.408
DFT total energy, eV per cell: -47.91